Density functional theory data (PBEsol) for crystalline LaIr2Os at its relaxed geometry.

Structure (CIF):
```
data_LaIr2Os
_cell_length_a 4.953
_cell_length_b 4.953
_cell_length_c 4.953
_cell_angle_alpha 130.55
_cell_angle_beta 130.55
_cell_angle_gamma 72.53
_space_group_name_H-M_alt 'P 1'
_space_group_IT_number 1
loop_
_space_group_symop_operation_xyz
'x,y,z'
loop_
_atom_site_label
_atom_site_fract_x
_atom_site_fract_y
_atom_site_fract_z
_atom_site_occupancy
La1 0.000 0.000 0.000 1
Ir1 0.250 0.750 0.500 1
Ir2 0.750 0.250 0.500 1
Os1 0.500 0.500 0.000 1
```

Summary:
**Crystal system**: tetragonal
**Relative energy among the computed polymorphs**: 0.98 eV per formula unit
**Symmetry**: I4/mmm, No. 139
**Formation energy**: 313.1 meV/atom
**Theoretical density**: 17.3 g/cm³